Record 1
An optimized crystal structure of NaPrDySbO6. Source: Alexandria via LeMat-Bulk, functional PBE.

a b c (Å): 8.3094 8.3094 8.3094
angles (deg): 90.00 90.00 90.00
With the nearest neighbours (Å) after each atom.
Space group F-43m (No. 216)
Inequivalent atoms, fractional coordinates:
Na 0.0000 0.0000 0.0000  12 O 2.94
Pr 0.0000 0.0000 0.5000  12 O 2.94
Dy 0.2500 0.2500 0.7500  6 O 2.18
Sb 0.2500 0.2500 0.2500  6 O 1.98
O 0.0122 0.2500 0.2500  1 Sb 1.98, 1 Dy 2.18

Values from the calculation:
- Calculated total energy: -6.843 eV/atom
- Calculated volume: 14.3 A^3/atom
- Formation energy from raw total energies: -2.39 eV per atom

Record 2
An optimized crystal structure of Np4As8Pd3. Source: Alexandria via LeMat-Bulk, functional PBE.

a b c (Å): 3.9868 3.9868 18.8521
angles (deg): 90.00 90.00 90.00
With the nearest neighbours (Å) after each atom.
Space group P-4m2 (No. 115)
Inequivalent atoms, fractional coordinates:
Np 0.0000 0.5000 0.1233  8 As 2.91-3.03, 2 Pd 3.06
Np 0.0000 0.5000 0.6347  8 As 2.91-3.03, 4 Pd 3.23
As 0.0000 0.0000 0.2442  4 As 2.82, 4 Np 3.03
As 0.0000 0.5000 0.4045  4 Pd 2.69, 4 Np 2.91
As 0.0000 0.5000 0.9158  2 Pd 2.55
As 0.5000 0.5000 0.2443  4 As 2.82, 4 Np 3.03
Pd 0.0000 0.0000 0.0000  4 As 2.55
Pd 0.0000 0.0000 0.5000  4 As 2.69, 4 Pd 2.82
Pd 0.5000 0.5000 0.5000  4 As 2.69, 4 Pd 2.82

Values from the calculation:
- Calculated total energy: -7.519 eV/atom
- Calculated volume: 20.0 A^3/atom
- Energy of formation from the pure elements: -0.55 eV/atom

Record 3
An optimized crystal structure of FeSiSe2. Source: Alexandria via LeMat-Bulk, functional PBE.

a b c (Å): 3.1718 3.1718 6.6909
angles (deg): 90.00 90.00 90.00
With the nearest neighbours (Å) after each atom.
Space group P4/mmm (No. 123)
Inequivalent atoms, fractional coordinates:
Fe 0.0000 0.0000 0.0000  8 Se 2.71
Si 0.0000 0.0000 0.5000  8 Se 2.89, 4 Si 3.17
Se 0.5000 0.5000 0.2276  4 Fe 2.71, 4 Si 2.89

Values from the calculation:
- Calculated total energy: -4.854 eV/atom
- Calculated volume: 16.8 A^3/atom
- Formation energy from raw total energies: 0.36 eV per atom

Record 4
An optimized crystal structure of CsNaSr. Source: Alexandria via LeMat-Bulk, functional PBE.

a b c (Å): 21.3041 4.5034 7.7893
angles (deg): 90.00 90.00 90.00
With the nearest neighbours (Å) after each atom.
Space group Amm2 (No. 38)
Inequivalent atoms, fractional coordinates:
Cs 0.1687 0.0000 0.0000  3 Na 4.43-4.44, 6 Cs 4.50, 3 Sr 4.82-4.84
Na 0.0000 0.0000 0.6669  6 Cs 4.43-4.44, 6 Na 4.50
Na 0.5000 0.0000 0.9955  6 Sr 3.96
Sr 0.3597 0.0000 0.6621  3 Na 3.96

Values from the calculation:
- Calculated total energy: -1.155 eV/atom
- Calculated volume: 62.3 A^3/atom
- Excess energy over the best structure of this formula in the dataset: 28 meV/atom
- Energy of formation from the pure elements: 0.13 eV/atom

Record 5
An optimized crystal structure of PaGaGeRh3. Source: Alexandria via LeMat-Bulk, functional PBE.

a b c (Å): 5.6160 12.8952 5.8151
angles (deg): 90.00 90.00 90.00
With the nearest neighbours (Å) after each atom.
Space group Cmcm (No. 63)
Inequivalent atoms, fractional coordinates:
Pa 0.0000 0.1575 0.2500  6 Rh 2.82-2.85, 1 Ga 2.93, 2 Ge 2.93
Ga 0.0000 0.3845 0.2500  4 Rh 2.52, 2 Ge 2.82
Ge 0.0000 0.1313 0.7500  5 Rh 2.49-2.62
Rh 0.0000 0.3244 0.7500  1 Ge 2.49
Rh 0.2460 0.0000 0.0000  2 Ga 2.52, 2 Ge 2.62, 1 Rh 2.76

Values from the calculation:
- Calculated total energy: -7.078 eV/atom
- Calculated volume: 17.5 A^3/atom
- Energy of formation from the pure elements: -0.55 eV/atom

Record 6
An optimized crystal structure of CeZn2Pd3. Source: Alexandria via LeMat-Bulk, functional PBE.

a b c (Å): 9.4690 8.7697 5.3713
angles (deg): 90.00 90.00 90.00
With the nearest neighbours (Å) after each atom.
Space group Cmcm (No. 63)
Inequivalent atoms, fractional coordinates:
Ce 0.0000 0.2131 0.2500  3 Pd 2.77-3.06
Zn 0.2378 0.5000 0.0000  6 Pd 2.56-2.76, 2 Zn 2.69
Pd 0.0000 0.4712 0.7500  4 Zn 2.63, 4 Pd 2.71-2.73, 1 Ce 2.77
Pd 0.1810 0.2319 0.7500  4 Zn 2.56-2.76, 1 Pd 2.71

Values from the calculation:
- Calculated total energy: -4.571 eV/atom
- Calculated volume: 18.6 A^3/atom
- Energy of formation from the pure elements: -0.56 eV/atom

Record 7
An optimized crystal structure of ZrTi2Cu6. Source: Alexandria via LeMat-Bulk, functional PBE.

a b c (Å): 4.6017 14.0951 4.5998
angles (deg): 90.00 118.96 90.00
With the nearest neighbours (Å) after each atom.
Space group C2/m (No. 12)
Inequivalent atoms, fractional coordinates:
Zr 0.0000 0.0000 0.0000  10 Cu 2.65-2.77
Ti 0.0000 0.1656 0.5000  10 Cu 2.66-2.71
Cu 0.1572 0.5000 0.3286  5 Cu 2.61-2.76, 3 Zr 2.65-2.70, 2 Ti 2.71
Cu 0.1598 0.3294 0.8340  5 Cu 2.58-2.74, 4 Ti 2.66-2.68, 1 Zr 2.77

Values from the calculation:
- Calculated total energy: -5.445 eV/atom
- Calculated volume: 14.5 A^3/atom
- Energy of formation from the pure elements: -0.01 eV/atom

Record 8
An optimized crystal structure of Ho2B7Ir12. Source: Alexandria via LeMat-Bulk, functional PBE.

a b c (Å): 8.9059 8.9059 3.9765
angles (deg): 90.00 90.00 120.00
With the nearest neighbours (Å) after each atom.
Space group P-3 (No. 147)
Inequivalent atoms, fractional coordinates:
Ho 0.3333 0.6667 0.2549  6 B 2.88-2.91, 9 Ir 2.97-3.16
B 0.0000 0.0000 0.5000  6 Ir 2.15
B 0.1181 0.4133 0.7608  3 Ir 2.13-2.20
Ir 0.0637 0.6212 0.7501  2 B 2.14-2.20
Ir 0.0929 0.8472 0.2518  2 B 2.13-2.15

Values from the calculation:
- Calculated total energy: -8.125 eV/atom
- Calculated volume: 13.0 A^3/atom
- Energy of formation from the pure elements: -0.40 eV/atom

Record 9
An optimized crystal structure of InCu2Au3. Source: Alexandria via LeMat-Bulk, functional PBE.

a b c (Å): 4.3801 13.1632 6.9946
angles (deg): 90.00 90.00 90.00
With the nearest neighbours (Å) after each atom.
Space group Cmmm (No. 65)
Inequivalent atoms, fractional coordinates:
In 0.0000 0.1557 0.0000  8 Au 2.85-3.05, 2 Cu 3.00
Cu 0.0000 0.1732 0.5000  8 Au 2.70-2.74, 2 Cu 2.98
Cu 0.0000 0.5000 0.0000  8 Au 2.85-2.95, 4 In 3.00
Cu 0.0000 0.5000 0.5000  8 Au 2.67-2.68
Au 0.0000 0.0000 0.2823  6 Cu 2.67-2.95, 2 In 2.85
Au 0.0000 0.3379 0.2693  5 Cu 2.68-2.85, 2 In 2.89

Values from the calculation:
- Calculated total energy: -3.525 eV/atom
- Calculated volume: 16.8 A^3/atom
- Energy of formation from the pure elements: -0.06 eV/atom

Record 10
An optimized crystal structure of Co4IrRh. Source: Alexandria via LeMat-Bulk, functional PBE.

a b c (Å): 4.0728 5.1882 7.0385
angles (deg): 90.00 90.00 90.00
With the nearest neighbours (Å) after each atom.
Space group Immm (No. 71)
Inequivalent atoms, fractional coordinates:
Co 0.0000 0.2491 0.1667  5 Co 2.35-2.60
Ir 0.0000 0.5000 0.5000  2 Rh 2.59, 12 Co 2.68
Rh 0.0000 0.0000 0.5000  2 Ir 2.59, 12 Co 2.68-2.69

Values from the calculation:
- Calculated total energy: -7.368 eV/atom
- Calculated volume: 12.4 A^3/atom
- Energy of formation from the pure elements: 0.07 eV/atom

Record 11
An optimized crystal structure of BaIr2W. Source: Alexandria via LeMat-Bulk, functional PBE.

a b c (Å): 2.8919 3.9979 7.4851
angles (deg): 90.00 90.00 90.00
With the nearest neighbours (Å) after each atom.
Space group Pmm2 (No. 25)
Inequivalent atoms, fractional coordinates:
Ba 0.0000 0.0000 0.0000  2 Ba 2.89
Ir 0.0000 0.0000 0.4950  4 W 2.65, 6 Ir 2.89
Ir 0.5000 0.5000 0.2933  1 W 2.48
W 0.5000 0.5000 0.6243  5 Ir 2.48-2.65

Values from the calculation:
- Calculated total energy: -7.645 eV/atom
- Calculated volume: 21.6 A^3/atom
- Excess energy over the best structure of this formula in the dataset: 432 meV/atom
- Energy of formation from the pure elements: 0.50 eV/atom

Record 12
An optimized crystal structure of Sm2DyHf. Source: Alexandria via LeMat-Bulk, functional PBE.

a b c (Å): 4.0265 4.0265 7.3076
angles (deg): 90.00 90.00 90.00
With the nearest neighbours (Å) after each atom.
Space group P4/mmm (No. 123)
Inequivalent atoms, fractional coordinates:
Sm 0.0000 0.0000 0.2233  1 Sm 3.26, 4 Hf 3.28, 4 Dy 3.49
Dy 0.5000 0.5000 0.5000  8 Sm 3.49, 2 Hf 3.65
Hf 0.5000 0.5000 0.0000  8 Sm 3.28, 2 Dy 3.65

Values from the calculation:
- Calculated total energy: -5.780 eV/atom
- Calculated volume: 29.6 A^3/atom
- Excess energy over the best structure of this formula in the dataset: 72 meV/atom
- Energy of formation from the pure elements: 0.22 eV/atom